(1)
VASP calculation (PBE-GGA) on a relaxed Ac2B6Ir9 crystal.

For the final energy, the calculation gives -8.074 eV per atom. The calculation puts the mass density at 14.9 g/cm³. Its volume is 250.8 Å³/cell. For the calculated formation energy, the calculation gives -0.54 eV/atom.

The structure belongs to space group P6/mmm (No. 191); the cell edges are 5.7933, 5.7933 and 8.6293 Å and the angles 90.00°, 90.00° and 120.00°. The asymmetric unit holds Ac at (0.0000, 0.0000, 0.2087), B at (0.3333, 0.6667, 0.1671), B at (0.3333, 0.6667, 0.5000), Ir at (0.0000, 0.5000, 0.0000) and Ir at (0.0000, 0.5000, 0.3377).

---

(2)
VASP calculation (PBE-GGA) on a relaxed GaCoH crystal.

For the final energy, the calculation gives -4.473 eV per atom. The calculation puts the mass density at 6.7 g/cm³. As for the energy relative to the lowest polymorph listed for this composition: 118 meV per atom. Its volume is 64.5 Å³/cell.

The structure belongs to space group P2_1/m (No. 11); the cell edges are 4.2828, 2.5884 and 5.9836 Å and the angles 90.00°, 103.58° and 90.00°. The asymmetric unit holds Ga at (0.1900, 0.2500, 0.3582), Co at (0.2510, 0.7500, 0.0164) and H at (0.3546, 0.2500, 0.8660).

---

(3)
VASP calculation (PBE-GGA) on a relaxed KGeBr3 crystal.

For the final energy, the calculation gives -2.883 eV per atom. The calculation puts the mass density at 3.1 g/cm³. Its volume is 380.0 Å³/cell.

The structure belongs to space group P6_3/mmc (No. 194); the cell edges are 4.9894, 4.9894 and 17.6267 Å and the angles 90.00°, 90.00° and 120.00°. The asymmetric unit holds K at (0.3333, 0.6667, 0.2500), Ge at (0.0000, 0.0000, 0.0000), Br at (0.0000, 0.0000, 0.2500) and Br at (0.3333, 0.6667, 0.0580).